{
  "formula": "LaGa2Tc2",
  "functional": "PBE-GGA",
  "state": "optimized geometry",
  "lattice_angstrom": [[4.025, 0.000, 0.000], [0.000, 4.025, 0.000], [2.013, 2.013, 5.913]],
  "species": ["Tc", "Tc", "Ga", "Ga", "La"],
  "fractional_positions": [[0.750, 0.250, 0.500], [0.250, 0.750, 0.500], [0.388, 0.388, 0.225], [0.612, 0.612, 0.775], [0.000, 0.000, 0.000]],
  "energy_ha_per_atom": -0.241,
  "density_g_cm3": 8.2,
  "total_magnetization_mub_per_atom": 0.099,
  "ef_ev_per_atom": -0.224,
  "de_polymorph_mev_per_atom": 189,
  "space_group": "I4/mmm, No. 139"
}